The following is a PBE+U calculation of an optimized crystal structure of AcV2CdO8, from Alexandria via LeMat-Bulk.

Unit cell a=7.4936 b=7.4936 c=6.7260 alpha=90.00 beta=90.00 gamma=90.00
Closest atoms and distances in Å follow each position.
Space group I-4m2 (No. 119)
One atom of each set of equivalent atoms:
Ac (0.0000, 0.0000, 0.0000) x2  8 O 2.47-2.67
V (0.0000, 0.0000, 0.5000) x2  4 O 1.75
V (0.0000, 0.5000, 0.7500) x2  4 O 1.74
Cd (0.0000, 0.5000, 0.2500) x2  8 O 2.44-2.63
O (0.0000, 0.1838, 0.3394) x8  1 V 1.75
O (0.0000, 0.3211, 0.9140) x8  1 V 1.74

Output
- Total energy: -83.2 eV/f.u.
- Crystal system: tetragonal